Material: Pm6PrTm12
Method: DFT, PBE-GGA
State: optimized geometry

For the formation enthalpy at 0 K, the calculation gives 0.4 eV per formula unit. As for the energy above the lowest structure with this stoichiometry: 0.000 eV per atom. Its density of states at the Fermi level is 1.329 states/eV per atom. The total energy is -4.55 eV per atom.

The structure belongs to space group R-3 (No. 148, hexagonal axes); the cell edges are 15.4711, 15.4711 and 8.6992 Å and the angles 90.00°, 90.00° and 120.00°. Symmetry generates all atoms from Pm at (0.0353, 0.7557, 0.3341), Pr at (0.0000, 0.0000, 0.0000), Tm at (0.0178, 0.8777, 0.6663) and Tm at (0.0704, 0.5092, 0.6666).

=====

Material: PmPr4Tm6
Method: DFT, PBE-GGA
State: optimized geometry

For the formation enthalpy at 0 K, the calculation gives 3.3 eV per formula unit. As for the energy above the lowest structure with this stoichiometry: 0.000 eV per atom. Its density of states at the Fermi level is 1.261 states/eV per atom. The total energy is -4.31 eV per atom.

The structure belongs to space group I-42m (No. 121); the cell edges are 6.696, 6.696 and 16.903 Å and the angles 90.00°, 90.00° and 90.00°. Symmetry generates all atoms from Pm at (0.000, 0.000, 0.000), Pr at (0.191, 0.191, 0.824), Tm at (0.000, 0.500, 0.000) and Tm at (0.177, 0.177, 0.622).

=====

Material: Pm3PrTm8
Method: DFT, PBE-GGA
State: optimized geometry

For the formation enthalpy at 0 K, the calculation gives 3.5 eV per formula unit. Its density of states at the Fermi level is 1.406 states/eV per atom. The total energy is -4.27 eV per atom.

The structure belongs to space group Immm (No. 71); the cell edges are 6.368, 11.309 and 11.364 Å and the angles 90.00°, 90.00° and 90.00°. Symmetry generates all atoms from Pm at (0.000, 0.000, 0.000), Pm at (0.000, 0.500, 0.252), Pr at (0.000, 0.000, 0.500), Tm at (0.000, 0.172, 0.250) and Tm at (0.249, 0.252, 0.500).

=====

Material: Pm6PrTm4
Method: DFT, PBE-GGA
State: optimized geometry

For the formation enthalpy at 0 K, the calculation gives 1.2 eV per formula unit. Its density of states at the Fermi level is 1.695 states/eV per atom. The total energy is -4.54 eV per atom.

The structure belongs to space group Cmcm (No. 63); the cell edges are 5.822, 9.693 and 25.895 Å and the angles 90.00°, 90.00° and 90.00°. Symmetry generates all atoms from Pm at (0.000, 0.000, 0.000), Pm at (0.000, 0.043, 0.250), Pm at (0.000, 0.304, 0.598), Pm at (0.000, 0.371, 0.180), Pr at (0.000, 0.295, 0.750), Tm at (0.000, 0.037, 0.123) and Tm at (0.000, 0.347, 0.044).

=====

Material: PmPr4Tm5
Method: DFT, PBE-GGA
State: optimized geometry

For the formation enthalpy at 0 K, the calculation gives 2.0 eV per formula unit. As for the energy above the lowest structure with this stoichiometry: 0.178 eV per atom. Its density of states at the Fermi level is 1.402 states/eV per atom. The total energy is -4.42 eV per atom.

The structure belongs to space group P-1 (No. 2); the cell edges are 3.527, 8.737 and 11.396 Å and the angles 90.22°, 90.01° and 101.60°. Symmetry generates all atoms from Pm at (0.000, 0.000, 0.000), Pr at (0.157, 0.320, 0.250), Pr at (0.465, 0.931, 0.252), Tm at (0.000, 0.000, 0.500), Tm at (0.326, 0.652, 0.048) and Tm at (0.328, 0.655, 0.457).

=====

Material: Pm4Pr4Tm3
Method: DFT, PBE-GGA
State: optimized geometry

For the formation enthalpy at 0 K, the calculation gives 0.6 eV per formula unit. As for the energy above the lowest structure with this stoichiometry: 0.000 eV per atom. Its density of states at the Fermi level is 1.748 states/eV per atom. The total energy is -4.63 eV per atom.

The structure belongs to space group P-1 (No. 2); the cell edges are 3.573, 5.733 and 18.429 Å and the angles 81.13°, 84.44° and 89.99°. Symmetry generates all atoms from Pm at (0.090, 0.092, 0.319), Pm at (0.232, 0.732, 0.035), Pr at (0.046, 0.548, 0.407), Pr at (0.179, 0.180, 0.141), Tm at (0.365, 0.364, 0.771) and Tm at (0.500, 0.000, 0.500).